1.
# Ce5ThGa2 (PBE-GGA, relaxed)
data_Ce5ThGa2
_symmetry_space_group_name_H-M 'C m c m'
_symmetry_Int_Tables_number 63
_symmetry_space_group_name_Hall '-C 2c 2'
_cell_length_a 5.1194
_cell_length_b 11.6270
_cell_length_c 13.6011
_cell_angle_alpha 90.00
_cell_angle_beta 90.00
_cell_angle_gamma 90.00
loop_
_atom_site_label
_atom_site_type_symbol
_atom_site_fract_x
_atom_site_fract_y
_atom_site_fract_z
_atom_site_occupancy
Ce1 Ce 0.0000 0.1163 0.0236 1
Ce2 Ce 0.0000 0.1863 0.2500 1
Ce3 Ce 0.0000 0.3760 0.6401 1
Th1 Th 0.0000 0.0801 0.7500 1
Ga1 Ga 0.0000 0.3705 0.0960 1
# E_form   -3.43 kcal/mol of atoms


2.
# AcY2SbN4 (PBE-GGA, relaxed)
data_AcY2SbN4
_symmetry_space_group_name_H-M 'C m c m'
_symmetry_Int_Tables_number 63
_symmetry_space_group_name_Hall '-C 2c 2'
_cell_length_a 3.8063
_cell_length_b 12.0417
_cell_length_c 11.8890
_cell_angle_alpha 90.00
_cell_angle_beta 90.00
_cell_angle_gamma 90.00
loop_
_atom_site_label
_atom_site_type_symbol
_atom_site_fract_x
_atom_site_fract_y
_atom_site_fract_z
_atom_site_occupancy
Ac1 Ac 0.0000 0.1009 0.2500 1
Y1 Y 0.0000 0.3728 0.0392 1
Sb1 Sb 0.0000 0.1585 0.7500 1
N1 N 0.0000 0.0000 0.0000 1
N2 N 0.0000 0.2762 0.6236 1
N3 N 0.0000 0.4217 0.2500 1
# ΔE_f (raw)   -0.74 eV per atom